TlSb2Au: relaxed, PBE.

abc: 10.1110 10.1110 10.1110
angles: 20.26 20.26 20.26
With the nearest neighbours (Å) after each atom.
Atoms (fractional coordinates):
Au1 0.7500 0.7500 0.7500  6 Sb 2.89
Sb1 0.0151 0.0151 0.0151  3 Au 2.89
Sb2 0.4849 0.4849 0.4849  3 Au 2.89
Tl1 0.2500 0.2500 0.2500  6 Tl 3.56, 6 Sb 3.57

**SG**: R-3m, No. 166
**Energy relative to the elements, uncorrected**: 0.29 eV/f.u.
**Calculated total energy**: -13.60 eV per formula unit
**Energy relative to the lowest polymorph listed for this composition**: 13.0 kJ per mole of atoms

TlSb2Au: relaxed, PBE.

abc: 4.3650 5.0201 5.5536
angles: 74.47 90.00 90.00
With the nearest neighbours (Å) after each atom.
Atoms (fractional coordinates):
Sb1 0.0000 0.5193 0.5714  2 Au 2.78, 1 Sb 2.89
Sb2 0.0000 0.9807 0.9286  2 Au 2.78, 1 Sb 2.89
Tl1 0.5000 0.2500 0.2500  2 Au 3.21, 4 Sb 3.33
Au1 0.5000 0.7500 0.7500  4 Sb 2.78

**SG**: P2/m, No. 10
**Energy relative to the elements, uncorrected**: -0.25 eV/f.u.
**Calculated total energy**: -14.13 eV per formula unit
**Energy relative to the lowest polymorph listed for this composition**: 0.0 kJ per mole of atoms

Tl2SbAu3: relaxed, PBE.

abc: 5.3731 6.8585 9.0009
angles: 112.40 89.98 90.00
With the nearest neighbours (Å) after each atom.
Atoms (fractional coordinates):
Sb1 0.2500 0.6351 0.0000  4 Au 2.79-2.84
Sb2 0.7500 0.3649 0.0000  4 Au 2.79-2.84
Au1 0.2491 0.7651 0.3343  1 Sb 2.79, 2 Tl 2.92-2.98, 2 Au 3.00
Au2 0.0000 0.0000 0.0000  2 Au 2.69, 2 Sb 2.84
Au3 0.5000 0.0000 0.0000  2 Au 2.69, 2 Sb 2.84
Au4 0.7509 0.2349 0.6657  1 Sb 2.79, 2 Tl 2.92-2.98, 2 Au 3.00
Au5 0.7491 0.5692 0.3343  1 Sb 2.79, 2 Tl 2.92-2.98, 2 Au 3.00
Au6 0.2509 0.4308 0.6657  1 Sb 2.79, 2 Tl 2.92-2.98, 2 Au 3.00
Tl1 0.2508 0.0040 0.6809  6 Au 2.92-3.18
Tl2 0.2492 0.3231 0.3191  6 Au 2.92-3.18
Tl3 0.7508 0.6769 0.6809  6 Au 2.92-3.18
Tl4 0.7492 0.9960 0.3191  6 Au 2.92-3.18

**SG**: Cmcm, No. 63
**Energy relative to the elements, uncorrected**: 0.00 eV/f.u.
**Calculated total energy**: -18.69 eV per formula unit
**Energy relative to the lowest polymorph listed for this composition**: 0.0 kJ per mole of atoms

TlSb2Au: relaxed, PBE.

abc: 5.1194 3.2883 6.3093
angles: 90.00 90.00 90.00
With the nearest neighbours (Å) after each atom.
Atoms (fractional coordinates):
Sb1 0.5000 0.9999 0.2568  2 Au 3.05-3.26, 4 Sb 3.08-3.29
Sb2 0.0000 0.0002 0.9862  2 Au 3.00, 4 Sb 3.08-3.29
Tl1 0.0000 0.4997 0.5175  2 Tl 3.29, 4 Au 3.35, 6 Sb 3.38-3.46
Au1 0.5000 0.0002 0.7395  4 Sb 3.00-3.26, 2 Au 3.29, 4 Tl 3.35

**SG**: Pmm2, No. 25
**Energy relative to the elements, uncorrected**: 0.29 eV/f.u.
**Calculated total energy**: -13.60 eV per formula unit
**Energy relative to the lowest polymorph listed for this composition**: 12.9 kJ per mole of atoms

Tl2Sb2Au7: relaxed, PBE.

abc: 4.6719 8.1347 8.1295
angles: 55.64 94.10 93.99
With the nearest neighbours (Å) after each atom.
Atoms (fractional coordinates):
Au1 0.1037 0.6332 0.0470  3 Au 2.77-2.86, 1 Sb 2.85, 3 Tl 3.05-3.07
Au2 0.8963 0.3668 0.9530  3 Au 2.77-2.86, 1 Sb 2.85, 3 Tl 3.05-3.07
Au3 0.8186 0.4133 0.4116  2 Sb 2.77, 3 Au 2.83-2.92, 1 Tl 2.97
Au4 0.8966 0.9523 0.3671  3 Au 2.77-2.86, 1 Sb 2.85, 3 Tl 3.04-3.07
Au5 0.1814 0.5867 0.5884  2 Sb 2.77, 3 Au 2.83-2.92, 1 Tl 2.97
Au6 0.1034 0.0477 0.6329  3 Au 2.77-2.86, 1 Sb 2.85, 3 Tl 3.04-3.07
Au7 0.0000 0.0000 0.0000  4 Au 2.86, 4 Sb 3.01-3.02
Sb1 0.5016 0.2508 0.7484  6 Au 2.77-3.02
Sb2 0.4984 0.7492 0.2516  6 Au 2.77-3.02
Tl1 0.5826 0.7590 0.7586  7 Au 2.97-3.07
Tl2 0.4174 0.2410 0.2414  7 Au 2.97-3.07

**SG**: P-1, No. 2
**Energy relative to the elements, uncorrected**: -0.02 eV/f.u.
**Calculated total energy**: -35.94 eV per formula unit

Tl3Sb2Au7: relaxed, PBE.

abc: 4.4755 4.8760 16.2667
angles: 118.09 90.01 100.46
With the nearest neighbours (Å) after each atom.
Atoms (fractional coordinates):
Tl1 0.5000 0.5000 0.0000  4 Au 3.00-3.29
Tl2 0.6825 0.9459 0.5813  5 Au 2.93-3.10
Tl3 0.3175 0.0541 0.4187  5 Au 2.93-3.10
Au1 0.9077 0.4568 0.4113  4 Au 2.81-3.01, 4 Tl 2.96-3.10
Au2 0.0000 0.0000 0.0000  2 Sb 2.69, 2 Tl 3.00
Au3 0.7074 0.8789 0.2265  2 Sb 2.71-2.76, 3 Au 2.87-2.99
Au4 0.4290 0.4209 0.2925  2 Sb 2.72-2.86, 4 Au 2.81-3.01, 1 Tl 2.93
Au5 0.2926 0.1211 0.7735  2 Sb 2.71-2.76, 3 Au 2.87-2.99
Au6 0.5710 0.5791 0.7075  2 Sb 2.72-2.86, 4 Au 2.81-3.01, 1 Tl 2.93
Au7 0.0923 0.5432 0.5887  4 Au 2.81-3.01, 4 Tl 2.96-3.10
Sb1 0.0651 0.6464 0.8176  5 Au 2.69-2.86
Sb2 0.9349 0.3536 0.1824  5 Au 2.69-2.86

**SG**: P-1, No. 2
**Energy relative to the elements, uncorrected**: -0.11 eV/f.u.
**Calculated total energy**: -38.39 eV per formula unit